CsLuAgTe3: relaxed, GGA-PBE.

Results
The value obtained for the total energy is -3.84 eV/atom. The calculation puts the total magnetization at 0.03 Bohr magnetons per cell.

CIF file:
```
data_CsLuAgTe3
_chemical_formula_sum 'Cs4 Lu4 Ag4 Te12'
_space_group_name_H-M_alt 'C m c m'
_space_group_IT_number 63
_space_group_name_Hall '-C 2c 2'
_cell_length_a 4.258
_cell_length_b 17.659
_cell_length_c 11.321
_cell_angle_alpha 90.00
_cell_angle_beta 90.00
_cell_angle_gamma 90.00
loop_
_atom_site_label
_atom_site_type_symbol
_atom_site_fract_x
_atom_site_fract_y
_atom_site_fract_z
Cs1 Cs 0.000 0.247 0.250
Lu1 Lu 0.000 0.000 0.000
Ag1 Ag 0.000 0.463 0.750
Te1 Te 0.000 0.069 0.750
Te2 Te 0.000 0.380 0.542
```